A relaxed RbErSc crystal, computed with GGA-PBE.

Structure (CIF):
```
data_RbErSc
_chemical_formula_sum 'Rb4 Er4 Sc4'
_space_group_name_H-M_alt 'F -4 3 m'
_space_group_IT_number 216
_space_group_name_Hall 'F -4 2 3'
_cell_length_a 8.2038
_cell_length_b 8.2038
_cell_length_c 8.2038
_cell_angle_alpha 90.00
_cell_angle_beta 90.00
_cell_angle_gamma 90.00
loop_
_atom_site_label
_atom_site_fract_x
_atom_site_fract_y
_atom_site_fract_z
Rb1 0.0000 0.0000 0.0000
Er1 0.0000 0.0000 0.5000
Sc1 0.2500 0.2500 0.7500
```



A relaxed RbErScTe3 crystal, computed with GGA-PBE.

Structure (CIF):
```
data_RbErScTe3
_chemical_formula_sum 'Rb4 Er4 Sc4 Te12'
_space_group_name_H-M_alt 'C m c m'
_space_group_IT_number 63
_space_group_name_Hall '-C 2c 2'
_cell_length_a 4.4783
_cell_length_b 16.6170
_cell_length_c 11.6738
_cell_angle_alpha 90.00
_cell_angle_beta 90.00
_cell_angle_gamma 90.00
loop_
_atom_site_label
_atom_site_fract_x
_atom_site_fract_y
_atom_site_fract_z
Rb1 0.0000 0.2418 0.2500
Er1 0.0000 0.5000 0.0000
Sc1 0.0000 0.0398 0.7500
Te1 0.0000 0.1272 0.5478
Te2 0.0000 0.4368 0.7500
```



A relaxed RbSrErSe3 crystal, computed with GGA-PBE.

Structure (CIF):
```
data_RbSrErSe3
_chemical_formula_sum 'Rb4 Sr4 Er4 Se12'
_space_group_name_H-M_alt 'C 1 2/m 1'
_space_group_IT_number 12
_space_group_name_Hall '-C 2y'
_cell_length_a 19.0266
_cell_length_b 4.2185
_cell_length_c 12.1310
_cell_angle_alpha 90.00
_cell_angle_beta 119.17
_cell_angle_gamma 90.00
loop_
_atom_site_label
_atom_site_fract_x
_atom_site_fract_y
_atom_site_fract_z
Rb1 0.0465 0.0000 0.2474
Sr1 0.1168 0.5000 0.6784
Er1 0.1665 0.5000 0.0652
Se1 0.0000 0.0000 0.5000
Se2 0.0000 0.5000 0.0000
Se3 0.1582 0.0000 0.8884
Se4 0.2111 0.0000 0.2399
```



Let's list V in order: 552; 869; 850 Å³ per cell.
Let's list energy in order: -2.674; -4.755; -4.630 eV per atom.